No. 1
# SmHo3Hg2 PBE-GGA relaxed
data_SmHo3Hg2
_chemical_formula_sum 'Sm2 Ho6 Hg4'
_cell_length_a 5.096
_cell_length_b 9.250
_cell_length_c 7.127
_cell_angle_alpha 90.00
_cell_angle_beta 90.00
_cell_angle_gamma 90.00
_space_group_name_H-M_alt 'P m c 21'
_space_group_IT_number 26
loop_
_space_group_symop_operation_xyz
'x,y,z'
'-x,-y,z+1/2'
'-x,y,z'
'x,-y,z+1/2'
loop_
_atom_site_label
_atom_site_fract_x
_atom_site_fract_y
_atom_site_fract_z
Sm1 0.000 0.057 0.000
Ho1 0.000 0.328 0.653
Ho2 0.500 0.178 0.317
Ho3 0.500 0.443 0.969
Hg1 0.000 0.353 0.226
Hg2 0.500 0.150 0.743
# Theoretical density: 10.3 g cm⁻³
# V: 28.0 Å³ per atom
# Crystal system: orthorhombic
# Calculated formation energy: -0.35 eV/atom

No. 2
# MoAsW PBE-GGA relaxed
data_MoAsW
_chemical_formula_sum 'Mo2 As2 W2'
_cell_length_a 3.022
_cell_length_b 4.018
_cell_length_c 7.892
_cell_angle_alpha 90.00
_cell_angle_beta 90.00
_cell_angle_gamma 90.00
_space_group_name_H-M_alt 'I m m 2'
_space_group_IT_number 44
loop_
_space_group_symop_operation_xyz
'x,y,z'
'-x,-y,z'
'-x,y,z'
'x,-y,z'
'x+1/2,y+1/2,z+1/2'
'-x+1/2,-y+1/2,z+1/2'
'-x+1/2,y+1/2,z+1/2'
'x+1/2,-y+1/2,z+1/2'
loop_
_atom_site_label
_atom_site_fract_x
_atom_site_fract_y
_atom_site_fract_z
Mo1 0.000 0.000 0.000
As1 0.000 0.000 0.331
W1 0.000 0.000 0.662
# Theoretical density: 12.3 g cm⁻³
# V: 16.0 Å³ per atom
# Crystal system: orthorhombic
# Calculated formation energy: 0.33 eV/atom

No. 3
# HOs3Ru PBE-GGA relaxed
data_HOs3Ru
_chemical_formula_sum 'H1 Os3 Ru1'
_cell_length_a 3.899
_cell_length_b 3.899
_cell_length_c 3.899
_cell_angle_alpha 90.00
_cell_angle_beta 90.00
_cell_angle_gamma 90.00
_space_group_name_H-M_alt 'P m -3 m'
_space_group_IT_number 221
_space_group_name_Hall '-P 4 2 3'
loop_
_atom_site_label
_atom_site_fract_x
_atom_site_fract_y
_atom_site_fract_z
H1 0.000 0.000 0.000
Os1 0.000 0.000 0.500
Ru1 0.500 0.500 0.500
# Theoretical density: 18.8 g cm⁻³
# V: 11.9 Å³ per atom
# Final energy: -9.00 eV/atom
# Crystal system: cubic

No. 4
# TiAlVTcRh PBE-GGA relaxed
data_TiAlVTcRh
_chemical_formula_sum 'Ti3 Al3 V3 Tc3 Rh3'
_cell_length_a 4.2526
_cell_length_b 4.2526
_cell_length_c 13.8061
_cell_angle_alpha 90.00
_cell_angle_beta 90.00
_cell_angle_gamma 120.00
_space_group_name_H-M_alt 'R 3 m'
_space_group_IT_number 160
_space_group_name_Hall 'R 3 -2"'
loop_
_atom_site_label
_atom_site_fract_x
_atom_site_fract_y
_atom_site_fract_z
Ti1 0.0000 0.0000 0.0000
Al1 0.0000 0.0000 0.4123
V1 0.0000 0.0000 0.2111
Tc1 0.0000 0.0000 0.6056
Rh1 0.0000 0.0000 0.8089
# Theoretical density: 7.5 g cm⁻³
# V: 14.4 Å³ per atom
# Crystal system: trigonal
# Calculated formation energy: -0.50 eV/atom

No. 5
# PrHo7Sc3 PBE-GGA relaxed
data_PrHo7Sc3
_chemical_formula_sum 'Pr1 Ho7 Sc3'
_cell_length_a 6.9539
_cell_length_b 6.9539
_cell_length_c 8.2490
_cell_angle_alpha 90.00
_cell_angle_beta 90.00
_cell_angle_gamma 120.00
_space_group_name_H-M_alt 'P 3 m 1'
_space_group_IT_number 156
loop_
_space_group_symop_operation_xyz
'x,y,z'
'-y,x-y,z'
'-x+y,-x,z'
'-y,-x,z'
'-x+y,y,z'
'x,x-y,z'
loop_
_atom_site_label
_atom_site_fract_x
_atom_site_fract_y
_atom_site_fract_z
Pr1 0.0000 0.0000 0.0000
Ho1 0.0028 0.5014 0.9877
Ho2 0.3312 0.1656 0.3422
Ho3 0.3333 0.6667 0.3319
Sc1 0.1683 0.3366 0.6628
# Theoretical density: 6.9 g cm⁻³
# V: 31.4 Å³ per atom
# Crystal system: trigonal
# Calculated formation energy: 0.23 eV/atom

No. 6
# KHg2AsAu PBE-GGA relaxed
data_KHg2AsAu
_chemical_formula_sum 'K1 Hg2 As1 Au1'
_cell_length_a 6.440
_cell_length_b 6.440
_cell_length_c 6.249
_cell_angle_alpha 90.00
_cell_angle_beta 90.00
_cell_angle_gamma 90.00
_space_group_name_H-M_alt 'P 4/m m m'
_space_group_IT_number 123
_space_group_name_Hall '-P 4 2'
loop_
_atom_site_label
_atom_site_fract_x
_atom_site_fract_y
_atom_site_fract_z
K1 0.000 0.000 0.000
Hg1 0.000 0.500 0.000
As1 0.000 0.000 0.500
Au1 0.500 0.500 0.500
# Theoretical density: 4.6 g cm⁻³
# V: 51.8 Å³ per atom
# Crystal system: tetragonal
# Calculated formation energy: 0.82 eV/atom